29
Lattice="5.868 -8.251 0.000 5.868 8.251 0.000 -5.423 0.000 8.363" Properties=species:S:1:pos:R:3 comment="Na16In12Ge, optimized geometry, DFT PBE-GGA" e_tot_ev_per_atom=-2.1261 delta_e_f_mev_per_atom=-106 volume_a3_per_atom=27.925 magmom_total_mub_per_cell=0.00 pbc="T T T"
Na 0.000 0.000 0.000
Na -1.923 0.000 3.051
Na 1.773 4.839 2.708
Na 1.943 3.117 5.840
Na 4.512 5.595 4.943
Na -0.011 2.069 8.262
Na 2.569 5.300 8.307
Na 4.431 2.476 3.472
Na -0.011 -2.069 8.262
Na 1.773 -4.839 2.708
Na 3.754 0.000 5.683
Na 1.943 -3.117 5.840
Na 6.570 0.000 2.441
Na 4.431 -2.476 3.472
Na 4.512 -5.595 4.943
Na 2.569 -5.300 8.307
In 1.381 6.709 5.328
In -0.677 5.167 6.877
In 1.187 1.572 3.032
In -2.164 0.000 6.749
In 4.899 5.059 1.581
In 1.187 -1.572 3.032
In 3.323 0.000 1.527
In -0.677 -5.167 6.877
In 8.583 1.540 0.210
In 4.899 -5.059 1.581
In 1.381 -6.709 5.328
In 8.583 -1.540 0.210
Ge 0.503 0.000 5.376

=====

8
Lattice="3.546 -6.166 0.000 3.546 6.166 0.000 -2.872 0.000 5.430" Properties=species:S:1:pos:R:3 comment="NbTlSe2, optimized geometry, DFT PBE-GGA" e_tot_ev_per_atom=-5.3401 volume_a3_per_atom=29.685 raw_formation_energy_ev_per_fu=-1.96 magmom_total_mub_per_cell=0.00 pbc="T T T"
Nb 1.393 6.144 4.072
Nb 2.828 -6.144 1.357
Tl 2.828 1.585 1.357
Tl 1.393 -1.585 4.072
Se -0.281 1.496 3.350
Se 1.155 -1.496 0.635
Se 3.066 1.496 4.795
Se 4.502 -1.496 2.080